1.
Computed, not measured: crystalline Nd7Sm3Ho2 at its relaxed geometry at the PBE level of DFT.

a = 3.626 Å, b = 5.951 Å, c = 19.211 Å
α = 93.31°, β = 90.00°, γ = 90.00°
Atoms (fractional coordinates):
Nd  0.500  0.183  0.183
Nd  0.500  0.257  0.535
Ho  0.500  0.707  0.296
Nd  0.000  0.681  0.146
Nd  0.000  0.319  0.854
Sm  0.000  0.784  0.634
Nd  0.500  0.743  0.465
Sm  0.000  0.216  0.366
Ho  0.500  0.293  0.704
Sm  0.500  0.500  0.000
Nd  0.500  0.817  0.817
Nd  0.000  0.000  0.000

Properties
ΔE_f = 0.089 eV/atom
uncorrected energy = -55.61 eV/cell
SG = No. 10

2.
Computed, not measured: crystalline Rb2NaCdF at its relaxed geometry at the PBE level of DFT.

a = 5.834 Å, b = 5.834 Å, c = 5.090 Å
α = 90.00°, β = 90.00°, γ = 90.00°
Atoms (fractional coordinates):
Rb  0.000  0.500  0.000
Rb  0.500  0.000  0.000
Na  0.000  0.000  0.500
Cd  0.500  0.500  0.500
F  0.000  0.000  0.000

Properties
raw formation energy = -0.9680 eV per atom
uncorrected energy = -10.88 eV/cell
SG = No. 123

3.
Computed, not measured: crystalline Ac6La2Pm at its relaxed geometry at the PBE level of DFT.

a = 7.796 Å, b = 6.197 Å, c = 20.223 Å
α = 127.74°, β = 90.00°, γ = 90.00°
Atoms (fractional coordinates):
Ac  0.870  0.262  0.381
Ac  0.370  0.238  0.119
Ac  0.332  0.313  0.407
Pm  0.500  0.500  0.000
Ac  0.832  0.187  0.093
Ac  0.130  0.738  0.619
Ac  0.905  0.211  0.856
La  0.411  0.086  0.793
Ac  0.595  0.711  0.356
La  0.589  0.914  0.207
Ac  0.630  0.762  0.881
Pm  0.000  0.000  0.500
Ac  0.668  0.687  0.593
Ac  0.168  0.813  0.907
La  0.911  0.414  0.707
La  0.089  0.586  0.293
Ac  0.095  0.789  0.144
Ac  0.405  0.289  0.644

Properties
ΔE_f = 0.121 eV/atom
uncorrected energy = -76.33 eV/cell
SG = No. 14